DFT (PBE) results for crystalline Cs2Np2AlSe6 at its relaxed geometry.

The calculation puts the uncorrected formation energy at -1.101 eV/atom. As for the spin magnetization: 7.000 μB/f.u. For the density of states at the Fermi level, the calculation gives 17.59 states/eV/f.u. The total energy is -5.850 eV/atom.

The structure belongs to space group C2/m (No. 12); the cell edges are 7.140, 12.269 and 8.891 Å and the angles 90.00°, 106.20° and 90.00°. The asymmetric unit holds Cs at (0.000, 0.170, 0.000), Np at (0.000, 0.333, 0.500), Al at (0.000, 0.000, 0.500), Se at (0.218, 0.156, 0.676) and Se at (0.246, 0.000, 0.329).